[1]
DFT (PBE) results for crystalline KAg3Ge3 at its relaxed geometry.

The space-group type is Pm-3n (223). The density of states at the Fermi level comes out at 11.13 states/eV per cell.

abc: 7.2845 7.2845 7.2845
angles: 90.00 90.00 90.00
Last column: nearest neighbours and their distance in Å.
Sites, in units of the cell vectors:
Ge (0.0000, 0.2500, 0.5000)  4 Ag 2.58
Ge (0.0000, 0.7500, 0.5000)  4 Ag 2.58
Ge (0.5000, 0.0000, 0.7500)  4 Ag 2.58
Ge (0.7500, 0.5000, 0.0000)  4 Ag 2.58
Ge (0.5000, 0.0000, 0.2500)  4 Ag 2.58
Ge (0.2500, 0.5000, 0.0000)  4 Ag 2.58
K (0.5000, 0.5000, 0.5000)  12 Ge 4.07, 12 Ag 4.07
K (0.0000, 0.0000, 0.0000)  12 Ge 4.07, 12 Ag 4.07
Ag (0.2500, 0.0000, 0.5000)  4 Ge 2.58
Ag (0.0000, 0.5000, 0.2500)  4 Ge 2.58
Ag (0.5000, 0.7500, 0.0000)  4 Ge 2.58
Ag (0.7500, 0.0000, 0.5000)  4 Ge 2.58
Ag (0.0000, 0.5000, 0.7500)  4 Ge 2.58
Ag (0.5000, 0.2500, 0.0000)  4 Ge 2.58

[2]
DFT (PBE) results for crystalline K2Ag2Ge at its relaxed geometry.

The value obtained for the energy relative to the lowest polymorph listed for this composition is 84.6 meV/atom. The space-group type is P4/mbm (127). The density of states at the Fermi level comes out at 4.00 states/eV per cell.

abc: 7.0720 7.0720 5.6141
angles: 90.00 90.00 90.00
Last column: nearest neighbours and their distance in Å.
Sites, in units of the cell vectors:
Ge (0.0000, 0.0000, 0.0000)  4 Ag 2.69
Ge (0.5000, 0.5000, 0.0000)  4 Ag 2.69
K (0.1768, 0.6768, 0.5000)  6 Ag 3.30-3.64, 5 K 3.54-3.68
K (0.6768, 0.8232, 0.5000)  6 Ag 3.30-3.64, 5 K 3.54-3.68
K (0.8232, 0.3232, 0.5000)  6 Ag 3.30-3.64, 5 K 3.54-3.68
K (0.3232, 0.1768, 0.5000)  6 Ag 3.30-3.64, 5 K 3.54-3.68
Ag (0.3497, 0.8497, 0.0000)  2 Ge 2.69, 1 Ag 3.01
Ag (0.8497, 0.6503, 0.0000)  2 Ge 2.69, 1 Ag 3.01
Ag (0.6503, 0.1503, 0.0000)  2 Ge 2.69, 1 Ag 3.01
Ag (0.1503, 0.3497, 0.0000)  2 Ge 2.69, 1 Ag 3.01

[3]
DFT (PBE) results for crystalline KLaAgGe2 at its relaxed geometry.

The space-group type is P4/mmm (123). The density of states at the Fermi level comes out at 5.19 states/eV per cell.

abc: 5.2507 5.5462 5.2507
angles: 90.00 90.00 90.00
Last column: nearest neighbours and their distance in Å.
Sites, in units of the cell vectors:
Ge (0.0000, 0.0000, 0.5000)  2 Ag 2.63
Ge (0.5000, 0.0000, 0.0000)  2 Ag 2.63
K (0.5000, 0.5000, 0.5000)  4 La 3.71, 8 Ge 3.82
Ag (0.0000, 0.0000, 0.0000)  4 Ge 2.63, 2 La 2.77
La (0.0000, 0.5000, 0.0000)  2 Ag 2.77

[4]
DFT (PBE) results for crystalline KLiAg2Ge at its relaxed geometry.

The space-group type is P4/mmm (123). The density of states at the Fermi level comes out at 0.73 states/eV per cell.

abc: 5.0513 5.0513 5.0807
angles: 90.00 90.00 90.00
Last column: nearest neighbours and their distance in Å.
Sites, in units of the cell vectors:
Ge (0.0000, 0.0000, 0.0000)  4 Ag 2.53, 2 Li 2.54
K (0.5000, 0.5000, 0.5000)  4 Li 3.57, 8 Ag 3.58
Ag (0.0000, 0.5000, 0.0000)  2 Ge 2.53
Ag (0.5000, 0.0000, 0.0000)  2 Ge 2.53
Li (0.0000, 0.0000, 0.5000)  2 Ge 2.54

[5]
DFT (PBE) results for crystalline KNa2AgGe at its relaxed geometry.

The value obtained for the energy relative to the lowest polymorph listed for this composition is 0.0 meV/atom. The space-group type is P4/mmm (123). The density of states at the Fermi level comes out at 1.24 states/eV per cell.

abc: 5.6974 5.6974 5.0373
angles: 90.00 90.00 90.00
Last column: nearest neighbours and their distance in Å.
Sites, in units of the cell vectors:
Na (0.0000, 0.5000, 0.0000)  2 Ge 2.85
Na (0.5000, 0.0000, 0.0000)  2 Ge 2.85
Ge (0.0000, 0.0000, 0.0000)  2 Ag 2.52
K (0.5000, 0.5000, 0.5000)  8 Na 3.80, 4 Ag 4.03
Ag (0.0000, 0.0000, 0.5000)  2 Ge 2.52

[6]
DFT (PBE) results for crystalline KNa2AgGe at its relaxed geometry.

The value obtained for the energy relative to the lowest polymorph listed for this composition is 47.7 meV/atom. The space-group type is P4/mmm (123). The density of states at the Fermi level comes out at 1.91 states/eV per cell.

abc: 5.7055 5.7055 4.9323
angles: 90.00 90.00 90.00
Last column: nearest neighbours and their distance in Å.
Sites, in units of the cell vectors:
Na (0.0000, 0.5000, 0.0000)  2 Ag 2.85
Na (0.5000, 0.0000, 0.0000)  2 Ag 2.85
Ge (0.0000, 0.0000, 0.5000)  2 Ag 2.47
K (0.5000, 0.5000, 0.5000)  8 Na 3.77, 4 Ge 4.03
Ag (0.0000, 0.0000, 0.0000)  2 Ge 2.47

Number 1: calculated formation energy 0.28 eV per atom. Number 2: calculated formation energy 0.08 eV per atom. Number 3: calculated formation energy 0.30 eV per atom. Number 4: calculated formation energy -0.05 eV per atom. Number 5: calculated formation energy 0.00 eV per atom. Number 6: calculated formation energy 0.04 eV per atom.